# 1
Compound: YZr2Au
Source: Alexandria
Functional: GGA-PBEsol
Structure: optimized geometry

Cell lengths 3.337, 3.337, 7.945 Å; angles 90.00, 90.00, 90.00 degrees
Space group P4/mmm (No. 123)
Asymmetric unit:
Y 0.000 0.000 0.000
Zr 0.500 0.500 0.281
Au 0.000 0.000 0.500

Summary:
- V (Å³ per atom) = 22.12
- energy relative to the elements (meV/atom) = -201.2

# 2
Compound: ZnAu
Source: Alexandria
Functional: GGA-PBEsol
Structure: optimized geometry

Cell lengths 2.8780, 2.8780, 12.9947 Å; angles 90.00, 90.00, 120.00 degrees
Space group R-3m (No. 166, hexagonal axes)
Asymmetric unit:
Zn 0.0000 0.0000 0.0000
Au 0.0000 0.0000 0.5000

Summary:
- V (Å³ per atom) = 15.54
- energy relative to the elements (meV/atom) = -140.3

| no. | spin magnetization (Bohr magnetons per cell) | raw total energy (eV per cell) |
| --- | --- | --- |
| 1 | 0.0 | -29.7 |
| 2 | 0.0 | -17.4 |